Entry from Alexandria via LeMat-Bulk: a geometry-optimized YRh2 structure (PBE-GGA).

Cell: 4.459 4.459 4.459 Å, 60.00 60.00 60.00°
Element x y z (fractional)
1 Y 0.000 0.000 0.000
2 Rh 0.250 0.250 0.250
3 Rh 0.750 0.750 0.750

Output
- Calculated total energy: -0.5135 Ry per atom
- Formation energy: 0.07 eV/atom
- Calculated volume: 63 Å³ per cell